# 1
# AgAu3Se, relaxed, DFT PBE
# crystal system = cubic
# E_form (uncorrected) = 0.5864 eV per atom
# total moment = 0.000 μB/cell
# excess energy over the best structure of this formula in the dataset = 0 meV per atom
data_AgAu3Se
_chemical_formula_sum 'Ag1 Au3 Se1'
_cell_length_a 5.023
_cell_length_b 5.023
_cell_length_c 5.023
_cell_angle_alpha 90.00
_cell_angle_beta 90.00
_cell_angle_gamma 90.00
_symmetry_space_group_name_H-M 'P 1'
_symmetry_Int_Tables_number 1
loop_
_symmetry_equiv_pos_as_xyz
'x,y,z'
loop_
_atom_site_label
_atom_site_fract_x
_atom_site_fract_y
_atom_site_fract_z
_atom_site_occupancy
Ag1 0.500 0.500 0.500 1
Au1 0.500 0.000 0.000 1
Au2 0.000 0.500 0.000 1
Au3 0.000 0.000 0.500 1
Se1 0.000 0.000 0.000 1


# 2
# Ac2Nd4Ho, relaxed, DFT PBE
# crystal system = monoclinic
# formation energy from the elements = 74.0 kJ/mol of formula units
# total moment = 0.000 μB/cell
# excess energy over the best structure of this formula in the dataset = 0 meV per atom
data_Ac2Nd4Ho
_chemical_formula_sum 'Ac2 Nd4 Ho1'
_cell_length_a 6.158
_cell_length_b 5.875
_cell_length_c 9.490
_cell_angle_alpha 112.82
_cell_angle_beta 90.00
_cell_angle_gamma 58.39
_symmetry_space_group_name_H-M 'P 1'
_symmetry_Int_Tables_number 1
loop_
_symmetry_equiv_pos_as_xyz
'x,y,z'
loop_
_atom_site_label
_atom_site_fract_x
_atom_site_fract_y
_atom_site_fract_z
_atom_site_occupancy
Ac1 0.280 0.439 0.141 1
Ac2 0.720 0.561 0.859 1
Ho1 0.000 0.000 0.000 1
Nd1 0.555 0.890 0.298 1
Nd2 0.445 0.110 0.702 1
Nd3 0.145 0.711 0.581 1
Nd4 0.855 0.289 0.419 1


# 3
# Rb5US5, relaxed, DFT PBE
# crystal system = monoclinic
# E_form (uncorrected) = -1.1934 eV per atom
# total moment = 1.000 μB/cell
data_Rb5US5
_chemical_formula_sum 'Rb5 U1 S5'
_cell_length_a 6.101
_cell_length_b 8.160
_cell_length_c 8.966
_cell_angle_alpha 107.83
_cell_angle_beta 90.00
_cell_angle_gamma 111.95
_symmetry_space_group_name_H-M 'P 1'
_symmetry_Int_Tables_number 1
loop_
_symmetry_equiv_pos_as_xyz
'x,y,z'
loop_
_atom_site_label
_atom_site_fract_x
_atom_site_fract_y
_atom_site_fract_z
_atom_site_occupancy
Rb1 0.305 0.610 0.694 1
Rb2 0.000 0.000 0.500 1
Rb3 0.695 0.390 0.306 1
Rb4 0.675 0.350 0.846 1
Rb5 0.325 0.650 0.154 1
U1 0.000 0.000 0.000 1
S1 0.126 0.252 0.862 1
S2 0.868 0.736 0.722 1
S3 0.500 0.000 0.000 1
S4 0.132 0.264 0.278 1
S5 0.874 0.748 0.138 1


# 4
# YTaBeAl2, relaxed, DFT PBE
# crystal system = tetragonal
# formation energy from the elements = 91.0 kJ/mol of formula units
# total moment = 0.000 μB/cell
data_YTaBeAl2
_chemical_formula_sum 'Y1 Ta1 Be1 Al2'
_cell_length_a 4.433
_cell_length_b 4.638
_cell_length_c 4.433
_cell_angle_alpha 90.00
_cell_angle_beta 90.00
_cell_angle_gamma 90.00
_symmetry_space_group_name_H-M 'P 1'
_symmetry_Int_Tables_number 1
loop_
_symmetry_equiv_pos_as_xyz
'x,y,z'
loop_
_atom_site_label
_atom_site_fract_x
_atom_site_fract_y
_atom_site_fract_z
_atom_site_occupancy
Ta1 0.000 0.500 0.000 1
Al1 0.000 0.000 0.500 1
Al2 0.500 0.000 0.000 1
Y1 0.500 0.500 0.500 1
Be1 0.000 0.000 0.000 1


# 5
# NaAc3C2N6, relaxed, DFT PBE
# crystal system = trigonal
# E_form (uncorrected) = -0.7331 eV per atom
# total moment = 0.000 μB/cell
data_NaAc3C2N6
_chemical_formula_sum 'Na1 Ac3 C2 N6'
_cell_length_a 5.680
_cell_length_b 5.680
_cell_length_c 6.504
_cell_angle_alpha 90.00
_cell_angle_beta 90.00
_cell_angle_gamma 120.00
_symmetry_space_group_name_H-M 'P 1'
_symmetry_Int_Tables_number 1
loop_
_symmetry_equiv_pos_as_xyz
'x,y,z'
loop_
_atom_site_label
_atom_site_fract_x
_atom_site_fract_y
_atom_site_fract_z
_atom_site_occupancy
N1 0.613 0.806 0.268 1
N2 0.387 0.194 0.732 1
N3 0.194 0.387 0.268 1
N4 0.194 0.806 0.268 1
N5 0.806 0.194 0.732 1
N6 0.806 0.613 0.732 1
C1 0.333 0.667 0.254 1
C2 0.667 0.333 0.746 1
Ac1 0.000 0.000 0.000 1
Ac2 0.667 0.333 0.331 1
Ac3 0.333 0.667 0.669 1
Na1 0.000 0.000 0.500 1


# 6
# Ba2HgSb3Pd4, relaxed, DFT PBE
# crystal system = tetragonal
# E_form (uncorrected) = -0.7360 eV per atom
# total moment = 0.000 μB/cell
data_Ba2HgSb3Pd4
_chemical_formula_sum 'Ba2 Hg1 Sb3 Pd4'
_cell_length_a 4.803
_cell_length_b 4.803
_cell_length_c 10.811
_cell_angle_alpha 90.00
_cell_angle_beta 90.00
_cell_angle_gamma 90.00
_symmetry_space_group_name_H-M 'P 1'
_symmetry_Int_Tables_number 1
loop_
_symmetry_equiv_pos_as_xyz
'x,y,z'
loop_
_atom_site_label
_atom_site_fract_x
_atom_site_fract_y
_atom_site_fract_z
_atom_site_occupancy
Sb1 0.000 0.500 0.121 1
Sb2 0.500 0.000 0.879 1
Sb3 0.000 0.000 0.500 1
Ba1 0.000 0.500 0.753 1
Ba2 0.500 0.000 0.247 1
Pd1 0.500 0.500 0.000 1
Pd2 0.500 0.000 0.630 1
Pd3 0.000 0.000 0.000 1
Pd4 0.000 0.500 0.370 1
Hg1 0.500 0.500 0.500 1


# 7
# La8Ir3CBr3, relaxed, DFT PBE
# crystal system = monoclinic
# E_form (uncorrected) = -0.9400 eV per atom
# total moment = 0.407 μB/cell
data_La8Ir3CBr3
_chemical_formula_sum 'La8 Ir3 C1 Br3'
_cell_length_a 8.340
_cell_length_b 8.350
_cell_length_c 9.162
_cell_angle_alpha 117.06
_cell_angle_beta 90.00
_cell_angle_gamma 119.96
_symmetry_space_group_name_H-M 'P 1'
_symmetry_Int_Tables_number 1
loop_
_symmetry_equiv_pos_as_xyz
'x,y,z'
loop_
_atom_site_label
_atom_site_fract_x
_atom_site_fract_y
_atom_site_fract_z
_atom_site_occupancy
La1 0.734 0.467 0.701 1
La2 0.221 0.441 0.686 1
La3 0.779 0.033 0.313 1
La4 0.266 0.533 0.299 1
La5 0.746 0.967 0.687 1
La6 0.254 0.033 0.313 1
La7 0.221 0.967 0.687 1
La8 0.779 0.559 0.314 1
Ir1 0.500 0.500 0.500 1
Ir2 0.500 0.000 0.500 1
Ir3 0.000 0.500 0.500 1
C1 0.000 0.000 0.500 1
Br1 0.000 0.500 0.000 1
Br2 0.500 0.500 0.000 1
Br3 0.000 0.000 0.000 1


# 8
# YMgCu2, relaxed, DFT PBE
# crystal system = orthorhombic
# formation energy from the elements = 70.7 kJ/mol of formula units
# total moment = 0.000 μB/cell
data_YMgCu2
_chemical_formula_sum 'Y2 Mg2 Cu4'
_cell_length_a 3.159
_cell_length_b 4.751
_cell_length_c 10.635
_cell_angle_alpha 90.00
_cell_angle_beta 90.00
_cell_angle_gamma 90.00
_symmetry_space_group_name_H-M 'P 1'
_symmetry_Int_Tables_number 1
loop_
_symmetry_equiv_pos_as_xyz
'x,y,z'
loop_
_atom_site_label
_atom_site_fract_x
_atom_site_fract_y
_atom_site_fract_z
_atom_site_occupancy
Cu1 0.500 0.500 0.202 1
Cu2 0.000 0.000 0.798 1
Cu3 0.000 0.500 0.657 1
Cu4 0.500 0.000 0.343 1
Y1 0.000 0.500 0.920 1
Y2 0.500 0.000 0.080 1
Mg1 0.000 0.500 0.403 1
Mg2 0.500 0.000 0.597 1